(1)
A plane-wave DFT calculation with PBEsol was carried out for a geometry-optimized ZrFe2 structure. Values from VASP.

Output
- energy of formation from the pure elements (meV/atom) = -292
- total moment (Bohr magnetons per cell) = 5.9
- total energy (eV/atom) = -9.297
- DOS at the Fermi energy (states/eV per cell) = 4.8

Quantum ESPRESSO input file:
```
&SYSTEM
  ibrav = 0, nat = 6, ntyp = 2
/
ATOMIC_SPECIES
Fe 55.84 Fe.upf
Zr 91.22 Zr.upf
CELL_PARAMETERS angstrom
-4.3518 0.4628 2.1775
-0.9620 -2.4921 4.0937
-0.3592 2.3556 4.2680
ATOMIC_POSITIONS crystal
Fe 0.1250 0.1250 0.6250
Fe 0.1250 0.6250 0.1250
Fe 0.1250 0.1250 0.1250
Fe 0.6250 0.1250 0.1250
Zr 0.7500 0.7500 0.7500
Zr 0.5000 0.5000 0.5000
```

***

(2)
A plane-wave DFT calculation with PBEsol was carried out for a geometry-optimized P2WO8 structure. Values from VASP.

Output
- total moment (Bohr magnetons per cell) = 0.0
- raw formation energy (eV per atom) = -2.093
- total energy (eV/atom) = -8.218
- excess energy over the best structure of this formula in the dataset (eV/f.u.) = 0.00
- DOS at the Fermi energy (states/eV per cell) = 0.0

Quantum ESPRESSO input file:
```
&SYSTEM
  ibrav = 0, nat = 22, ntyp = 3
/
ATOMIC_SPECIES
P 30.97 P.upf
W 183.84 W.upf
O 16.00 O.upf
CELL_PARAMETERS angstrom
5.1651 0.0000 0.0000
0.0000 6.9243 -0.0480
-2.5826 -1.6089 8.1547
ATOMIC_POSITIONS crystal
P 0.3332 0.3826 0.6664
P 0.3312 0.9507 0.6625
P 0.6668 0.6174 0.3336
P 0.6688 0.0493 0.3375
W 0.1107 0.2997 0.2215
W 0.8893 0.7003 0.7785
O 0.6149 0.8878 0.7586
O 0.8563 0.1122 0.2414
O 0.6351 0.8163 0.2702
O 0.1437 0.8878 0.7586
O 0.6128 0.4939 0.7493
O 0.8636 0.5061 0.2507
O 0.3649 0.1837 0.7298
O 0.3851 0.1122 0.2414
O 0.2417 0.8816 0.4834
O 0.0060 0.2582 0.0121
O 0.7581 0.6432 0.5161
O 0.2419 0.3568 0.4839
O 0.1364 0.4939 0.7493
O 0.7583 0.1184 0.5166
O 0.3872 0.5061 0.2507
O 0.9940 0.7418 0.9879
```

***

(3)
A plane-wave DFT calculation with PBEsol was carried out for a geometry-optimized Ca2CrWO6 structure. Values from VASP.

Output
- total moment (Bohr magnetons per cell) = 4.0
- raw formation energy (eV per atom) = -2.542
- total energy (eV/atom) = -8.523
- excess energy over the best structure of this formula in the dataset (eV/f.u.) = 0.00
- DOS at the Fermi energy (states/eV per cell) = 3.1

Quantum ESPRESSO input file:
```
&SYSTEM
  ibrav = 0, nat = 20, ntyp = 4
/
ATOMIC_SPECIES
Ca 40.08 Ca.upf
Cr 52.00 Cr.upf
W 183.84 W.upf
O 16.00 O.upf
CELL_PARAMETERS angstrom
-4.6757 1.7896 -1.8828
-2.4850 -4.4531 1.9385
-1.2581 3.5769 6.6039
ATOMIC_POSITIONS crystal
Ca 0.5093 0.0454 0.7485
Ca 0.9907 0.5454 0.7515
Ca 0.4907 0.9546 0.2515
Ca 0.0093 0.4546 0.2485
Cr 0.0000 0.0000 0.0000
Cr 0.5000 0.5000 0.5000
W 0.0000 0.0000 0.5000
W 0.5000 0.5000 0.0000
O 0.7934 0.2902 0.5400
O 0.7066 0.7902 0.9600
O 0.2066 0.7098 0.4600
O 0.2934 0.2098 0.0400
O 0.2929 0.2084 0.4618
O 0.2071 0.7084 0.0382
O 0.7071 0.7916 0.5382
O 0.7929 0.2916 0.9618
O 0.4250 0.4826 0.7498
O 0.0750 0.9826 0.7502
O 0.9250 0.0174 0.2498
O 0.5750 0.5174 0.2502
```

***

(4)
A plane-wave DFT calculation with PBEsol was carried out for a geometry-optimized Ti2FeOs structure. Values from VASP.

Output
- energy of formation from the pure elements (meV/atom) = -573
- total moment (Bohr magnetons per cell) = 0.0
- total energy (eV/atom) = -10.029
- DOS at the Fermi energy (states/eV per cell) = 1.0

Quantum ESPRESSO input file:
```
&SYSTEM
  ibrav = 0, nat = 4, ntyp = 3
/
ATOMIC_SPECIES
Os 190.23 Os.upf
Fe 55.84 Fe.upf
Ti 47.87 Ti.upf
CELL_PARAMETERS angstrom
4.2416 0.0000 0.0000
2.1208 3.6734 0.0000
2.1208 1.2245 3.4633
ATOMIC_POSITIONS crystal
Os 0.0000 0.0000 0.0000
Fe 0.5000 0.5000 0.5000
Ti 0.7500 0.7500 0.7500
Ti 0.2500 0.2500 0.2500
```

***

(5)
A plane-wave DFT calculation with PBEsol was carried out for a geometry-optimized ZnTc8 structure. Values from VASP.

Output
- energy of formation from the pure elements (meV/atom) = 75
- total moment (Bohr magnetons per cell) = 0.0
- total energy (eV/atom) = -10.115
- DOS at the Fermi energy (states/eV per cell) = 8.3

Quantum ESPRESSO input file:
```
&SYSTEM
  ibrav = 0, nat = 9, ntyp = 2
/
ATOMIC_SPECIES
Tc 98.00 Tc.upf
Zn 65.41 Zn.upf
CELL_PARAMETERS angstrom
3.8474 0.0000 0.0000
1.9237 5.7072 0.0000
1.9237 0.0000 5.7072
ATOMIC_POSITIONS crystal
Tc 0.6697 0.0000 0.6607
Tc 0.3303 0.0000 0.3393
Tc 0.3378 0.6622 0.6622
Tc 0.6697 0.6607 0.0000
Tc 0.0000 0.6622 0.3378
Tc 0.3303 0.3393 0.0000
Tc 0.6622 0.3378 0.3378
Tc 0.0000 0.3378 0.6622
Zn 0.0000 0.0000 0.0000
```

***

(6)
A plane-wave DFT calculation with PBEsol was carried out for a geometry-optimized MgBr structure. Values from VASP.

Output
- total moment (Bohr magnetons per cell) = 0.0
- raw formation energy (eV per atom) = -0.854
- total energy (eV/atom) = -2.648
- DOS at the Fermi energy (states/eV per cell) = 1.0

Quantum ESPRESSO input file:
```
&SYSTEM
  ibrav = 0, nat = 6, ntyp = 2
/
ATOMIC_SPECIES
Br 79.90 Br.upf
Mg 24.30 Mg.upf
CELL_PARAMETERS angstrom
3.7205 0.0000 0.0000
1.8602 5.8881 -0.2812
1.8602 0.0821 7.1455
ATOMIC_POSITIONS crystal
Br 0.2960 0.2738 0.1342
Br 0.6964 0.7681 0.8390
Br 0.5552 0.3040 0.5857
Mg 0.0129 0.8924 0.0818
Mg 0.9882 0.5980 0.4256
Mg 0.2846 0.9970 0.4338
```

***

(7)
A plane-wave DFT calculation with PBEsol was carried out for a geometry-optimized ZnAg2H structure. Values from VASP.

Output
- total moment (Bohr magnetons per cell) = 0.0
- total energy (eV/atom) = -2.665
- DOS at the Fermi energy (states/eV per cell) = 1.7

Quantum ESPRESSO input file:
```
&SYSTEM
  ibrav = 0, nat = 8, ntyp = 3
/
ATOMIC_SPECIES
H 1.01 H.upf
Zn 65.41 Zn.upf
Ag 107.87 Ag.upf
CELL_PARAMETERS angstrom
5.1531 -0.0211 0.0000
-2.3061 4.6084 0.0000
-1.4235 -2.2936 4.3895
ATOMIC_POSITIONS crystal
H 0.5000 0.5000 0.0000
H 0.7500 0.2500 0.5000
Zn 0.0000 0.0000 0.0000
Zn 0.2500 0.7500 0.5000
Ag 0.7885 0.8750 0.4135
Ag 0.4615 0.3750 0.5865
Ag 0.1250 0.5385 0.9135
Ag 0.6250 0.2115 0.0865
```

***

(8)
A plane-wave DFT calculation with PBEsol was carried out for a geometry-optimized K2BeF4 structure. Values from VASP.

Output
- total moment (Bohr magnetons per cell) = 0.1
- raw formation energy (eV per atom) = -3.086
- total energy (eV/atom) = -5.083
- excess energy over the best structure of this formula in the dataset (eV/f.u.) = 0.00
- DOS at the Fermi energy (states/eV per cell) = 0.0

Quantum ESPRESSO input file:
```
&SYSTEM
  ibrav = 0, nat = 28, ntyp = 3
/
ATOMIC_SPECIES
Be 9.01 Be.upf
F 19.00 F.upf
K 39.10 K.upf
CELL_PARAMETERS angstrom
-2.6491 2.5422 4.2786
-0.3268 -6.3197 3.5526
8.6628 1.9244 4.2202
ATOMIC_POSITIONS crystal
Be 0.7500 0.2670 0.9201
Be 0.2500 0.2330 0.4201
Be 0.2500 0.7330 0.0799
Be 0.7500 0.7670 0.5799
F 0.5248 0.1930 0.8465
F 0.4752 0.3070 0.3465
F 0.0248 0.8070 0.1535
F 0.9752 0.6930 0.6535
F 0.4752 0.8070 0.1535
F 0.5248 0.6930 0.6535
F 0.9752 0.1930 0.8465
F 0.0248 0.3070 0.3465
F 0.7500 0.4807 0.9187
F 0.2500 0.0193 0.4187
F 0.2500 0.5193 0.0813
F 0.7500 0.9807 0.5813
F 0.7500 0.1875 0.0684
F 0.2500 0.3125 0.5684
F 0.2500 0.8125 0.9316
F 0.7500 0.6875 0.4316
K 0.7500 0.3425 0.5890
K 0.2500 0.1575 0.0890
K 0.2500 0.6575 0.4110
K 0.7500 0.8425 0.9110
K 0.7500 0.5107 0.1922
K 0.2500 0.9893 0.6922
K 0.2500 0.4893 0.8078
K 0.7500 0.0107 0.3078
```

***

(9)
A plane-wave DFT calculation with PBEsol was carried out for a geometry-optimized ZrAlBr2 structure. Values from VASP.

Output
- total moment (Bohr magnetons per cell) = 0.0
- raw formation energy (eV per atom) = -0.345
- total energy (eV/atom) = -4.576
- excess energy over the best structure of this formula in the dataset (eV/f.u.) = 0.77
- DOS at the Fermi energy (states/eV per cell) = 2.6

Quantum ESPRESSO input file:
```
&SYSTEM
  ibrav = 0, nat = 4, ntyp = 3
/
ATOMIC_SPECIES
Br 79.90 Br.upf
Zr 91.22 Zr.upf
Al 26.98 Al.upf
CELL_PARAMETERS angstrom
3.3833 0.0000 -0.0019
0.0000 4.6819 0.0000
-0.0617 0.0000 5.5295
ATOMIC_POSITIONS crystal
Br 0.6985 0.0000 0.7449
Br 0.3015 0.0000 0.2551
Zr 0.5000 0.5000 0.5000
Al 0.0000 0.5000 0.0000
```

***

(10)
A plane-wave DFT calculation with PBEsol was carried out for a geometry-optimized Sr2ZnTe structure. Values from VASP.

Output
- total moment (Bohr magnetons per cell) = 0.0
- raw formation energy (eV per atom) = -0.652
- total energy (eV/atom) = -2.849
- excess energy over the best structure of this formula in the dataset (eV/f.u.) = 0.41
- DOS at the Fermi energy (states/eV per cell) = 2.0

Quantum ESPRESSO input file:
```
&SYSTEM
  ibrav = 0, nat = 4, ntyp = 3
/
ATOMIC_SPECIES
Sr 87.62 Sr.upf
Te 127.60 Te.upf
Zn 65.41 Zn.upf
CELL_PARAMETERS angstrom
4.5999 0.0000 0.0000
0.0000 4.5999 0.0000
-2.2999 -2.2999 6.0030
ATOMIC_POSITIONS crystal
Sr 0.0000 0.0000 0.0000
Sr 0.7500 0.2500 0.5000
Te 0.5000 0.5000 0.0000
Zn 0.2500 0.7500 0.5000
```